1.
VASP calculation (PBE) on a geometry-optimized HgSe5 structure.

Unit cell a=3.731 b=3.731 c=14.002 alpha=90.00 beta=90.00 gamma=90.00
Atoms (fractional coordinates):
Hg: 0.000 0.000 0.000
Se: 0.000 0.000 0.282
Se: 0.000 0.000 0.718
Se: 0.500 0.500 0.316
Se: 0.500 0.500 0.500
Se: 0.500 0.500 0.684

Results
Symmetry: No. 123
E_form (uncorrected) in eV/atom: 0.24
Electronic total energy in eV per atom: -2.711
Distance to the lowest polymorph of the same formula in meV/atom: 136


2.
VASP calculation (PBE) on a geometry-optimized Hg3Se structure.

Unit cell a=6.891 b=13.093 c=5.950 alpha=90.00 beta=90.00 gamma=90.00
Atoms (fractional coordinates):
Hg: 0.028 0.250 0.249
Hg: 0.228 0.544 0.506
Hg: 0.228 0.956 0.506
Hg: 0.272 0.044 0.006
Hg: 0.272 0.456 0.006
Hg: 0.472 0.750 0.749
Hg: 0.528 0.250 0.251
Hg: 0.728 0.544 0.994
Hg: 0.728 0.956 0.994
Hg: 0.772 0.044 0.494
Hg: 0.772 0.456 0.494
Hg: 0.972 0.750 0.751
Se: 0.223 0.750 0.058
Se: 0.277 0.250 0.558
Se: 0.723 0.750 0.442
Se: 0.777 0.250 0.942

Results
Symmetry: No. 62
E_form (uncorrected) in eV/atom: -0.03
Electronic total energy in eV per atom: -1.130


3.
VASP calculation (PBE) on a geometry-optimized Hg3Se structure.

Unit cell a=4.603 b=4.603 c=4.603 alpha=90.00 beta=90.00 gamma=90.00
Atoms (fractional coordinates):
Hg: 0.000 0.000 0.500
Hg: 0.000 0.500 0.000
Hg: 0.500 0.000 0.000
Se: 0.500 0.500 0.500

Results
Symmetry: No. 221
E_form (uncorrected) in eV/atom: 0.22
Electronic total energy in eV per atom: -0.882


4.
VASP calculation (PBE) on a geometry-optimized Hg3Se structure.

Unit cell a=12.970 b=12.970 c=12.970 alpha=13.41 beta=13.41 gamma=13.41
Atoms (fractional coordinates):
Hg: 0.000 0.000 0.000
Hg: 0.249 0.249 0.249
Hg: 0.751 0.751 0.751
Se: 0.500 0.500 0.500

Results
Symmetry: No. 166
E_form (uncorrected) in eV/atom: 0.19
Electronic total energy in eV per atom: -0.905


5.
VASP calculation (PBE) on a geometry-optimized HgSe3 structure.

Unit cell a=4.984 b=4.984 c=4.984 alpha=60.00 beta=60.00 gamma=60.00
Atoms (fractional coordinates):
Hg: 0.000 0.000 0.000
Se: 0.250 0.250 0.250
Se: 0.500 0.500 0.500
Se: 0.750 0.750 0.750

Results
Symmetry: No. 225
E_form (uncorrected) in eV/atom: 0.49
Electronic total energy in eV per atom: -2.201


6.
VASP calculation (PBE) on a geometry-optimized SiHgSe2 structure.

Unit cell a=4.891 b=4.891 c=3.548 alpha=90.00 beta=90.00 gamma=90.00
Atoms (fractional coordinates):
Si: 0.000 0.000 0.000
Hg: 0.500 0.500 0.000
Se: 0.000 0.500 0.500
Se: 0.500 0.000 0.500

Results
Symmetry: No. 123
E_form (uncorrected) in eV/atom: 0.42
Electronic total energy in eV per atom: -2.751


7.
VASP calculation (PBE) on a geometry-optimized SiHgSe2 structure.

Unit cell a=3.509 b=3.509 c=9.919 alpha=99.83 beta=99.83 gamma=59.93
Atoms (fractional coordinates):
Si: 0.000 0.000 0.000
Hg: 0.500 0.500 0.500
Se: 0.286 0.286 0.852
Se: 0.714 0.714 0.148

Results
Symmetry: No. 12
E_form (uncorrected) in eV/atom: -0.24
Electronic total energy in eV per atom: -3.412


8.
VASP calculation (PBE) on a geometry-optimized SiHgSe2 structure.

Unit cell a=4.927 b=4.927 c=4.927 alpha=60.00 beta=60.00 gamma=60.00
Atoms (fractional coordinates):
Si: 0.000 0.000 0.000
Hg: 0.750 0.750 0.750
Se: 0.250 0.250 0.250
Se: 0.500 0.500 0.500

Results
Symmetry: No. 216
E_form (uncorrected) in eV/atom: 0.56
Electronic total energy in eV per atom: -2.610


9.
VASP calculation (PBE) on a geometry-optimized SiHg2Se structure.

Unit cell a=2.836 b=2.836 c=11.668 alpha=90.00 beta=90.00 gamma=92.41
Atoms (fractional coordinates):
Si: 0.000 0.000 0.000
Hg: 0.500 0.500 0.222
Hg: 0.500 0.500 0.778
Se: 0.000 0.000 0.500

Results
Symmetry: No. 65
E_form (uncorrected) in eV/atom: 0.42
Electronic total energy in eV per atom: -1.962
Distance to the lowest polymorph of the same formula in meV/atom: 399


10.
VASP calculation (PBE) on a geometry-optimized Si2HgSe2 structure.

Unit cell a=6.512 b=6.512 c=6.512 alpha=136.32 beta=136.32 gamma=63.49
Atoms (fractional coordinates):
Si: 0.250 0.750 0.500
Si: 0.750 0.250 0.500
Hg: 0.000 0.000 0.000
Se: 0.328 0.328 0.000
Se: 0.672 0.672 0.000

Results
Symmetry: No. 139
E_form (uncorrected) in eV/atom: 0.25
Electronic total energy in eV per atom: -3.378


11.
VASP calculation (PBE) on a geometry-optimized SiHg2Se structure.

Unit cell a=3.342 b=3.342 c=9.071 alpha=90.00 beta=90.00 gamma=90.00
Atoms (fractional coordinates):
Si: 0.000 0.000 0.000
Hg: 0.000 0.000 0.564
Hg: 0.500 0.500 0.274
Se: 0.500 0.500 0.881

Results
Symmetry: No. 99
E_form (uncorrected) in eV/atom: 0.15
Electronic total energy in eV per atom: -2.225
Distance to the lowest polymorph of the same formula in meV/atom: 136


12.
VASP calculation (PBE) on a geometry-optimized SiHgSe2 structure.

Unit cell a=3.001 b=3.001 c=11.121 alpha=90.00 beta=90.00 gamma=111.46
Atoms (fractional coordinates):
Si: 0.000 0.000 0.000
Hg: 0.500 0.500 0.727
Se: 0.000 0.000 0.462
Se: 0.500 0.500 0.161

Results
Symmetry: No. 35
E_form (uncorrected) in eV/atom: 0.38
Electronic total energy in eV per atom: -2.796


13.
VASP calculation (PBE) on a geometry-optimized SiHgSe2 structure.

Unit cell a=6.638 b=6.638 c=6.638 alpha=113.81 beta=113.81 gamma=101.11
Atoms (fractional coordinates):
Si: 0.000 0.000 0.000
Si: 0.750 0.250 0.500
Hg: 0.250 0.750 0.500
Hg: 0.500 0.500 0.000
Se: 0.024 0.125 0.399
Se: 0.375 0.976 0.101
Se: 0.726 0.625 0.601
Se: 0.875 0.274 0.899

Results
Symmetry: No. 122
E_form (uncorrected) in eV/atom: -0.11
Electronic total energy in eV per atom: -3.287


14.
VASP calculation (PBE) on a geometry-optimized SiHg2Se structure.

Unit cell a=8.189 b=8.189 c=8.189 alpha=155.97 beta=150.66 gamma=38.27
Atoms (fractional coordinates):
Si: 0.000 0.000 0.000
Hg: 0.241 0.741 0.500
Hg: 0.586 0.586 0.000
Se: 0.894 0.394 0.500

Results
Symmetry: No. 44
E_form (uncorrected) in eV/atom: 0.09
Electronic total energy in eV per atom: -2.291
Distance to the lowest polymorph of the same formula in meV/atom: 70


15.
VASP calculation (PBE) on a geometry-optimized SiHgSe2 structure.

Unit cell a=9.528 b=9.528 c=9.528 alpha=29.68 beta=29.68 gamma=29.68
Atoms (fractional coordinates):
Si: 0.000 0.000 0.000
Hg: 0.500 0.500 0.500
Se: 0.076 0.076 0.076
Se: 0.924 0.924 0.924

Results
Symmetry: No. 166
E_form (uncorrected) in eV/atom: 0.22
Electronic total energy in eV per atom: -2.950


16.
VASP calculation (PBE) on a geometry-optimized SiHg2Se structure.

Unit cell a=5.185 b=5.185 c=5.185 alpha=124.52 beta=124.52 gamma=82.33
Atoms (fractional coordinates):
Si: 0.000 0.000 0.000
Hg: 0.250 0.750 0.500
Hg: 0.500 0.500 0.000
Se: 0.750 0.250 0.500

Results
Symmetry: No. 119
E_form (uncorrected) in eV/atom: 0.43
Electronic total energy in eV per atom: -1.948
Distance to the lowest polymorph of the same formula in meV/atom: 413


17.
VASP calculation (PBE) on a geometry-optimized SiHgSe2 structure.

Unit cell a=3.508 b=3.508 c=9.950 alpha=99.90 beta=99.90 gamma=60.00
Atoms (fractional coordinates):
Si: 0.000 0.000 0.000
Hg: 0.827 0.827 0.494
Se: 0.381 0.381 0.148
Se: 0.619 0.619 0.852

Results
Symmetry: No. 8
E_form (uncorrected) in eV/atom: -0.24
Electronic total energy in eV per atom: -3.411


18.
VASP calculation (PBE) on a geometry-optimized SiHg2Se structure.

Unit cell a=6.568 b=6.568 c=2.882 alpha=90.00 beta=90.00 gamma=129.83
Atoms (fractional coordinates):
Si: 0.000 0.000 0.000
Hg: 0.000 0.500 0.500
Hg: 0.500 0.000 0.500
Se: 0.500 0.500 0.000

Results
Symmetry: No. 65
E_form (uncorrected) in eV/atom: 0.38
Electronic total energy in eV per atom: -1.995
Distance to the lowest polymorph of the same formula in meV/atom: 365


19.
VASP calculation (PBE) on a geometry-optimized SiHgSe2 structure.

Unit cell a=10.891 b=10.891 c=10.891 alpha=18.51 beta=18.51 gamma=18.51
Atoms (fractional coordinates):
Si: 0.000 0.000 0.000
Hg: 0.500 0.500 0.500
Se: 0.378 0.378 0.378
Se: 0.622 0.622 0.622

Results
Symmetry: No. 166
E_form (uncorrected) in eV/atom: -0.23
Electronic total energy in eV per atom: -3.407


20.
VASP calculation (PBE) on a geometry-optimized SiHgSe2 structure.

Unit cell a=3.175 b=3.175 c=9.187 alpha=90.00 beta=90.00 gamma=90.00
Atoms (fractional coordinates):
Si: 0.000 0.000 0.000
Hg: 0.500 0.500 0.267
Se: 0.000 0.000 0.530
Se: 0.500 0.500 0.868

Results
Symmetry: No. 99
E_form (uncorrected) in eV/atom: 0.34
Electronic total energy in eV per atom: -2.832


21.
VASP calculation (PBE) on a geometry-optimized SiHg2Se structure.

Unit cell a=2.928 b=6.207 c=5.184 alpha=90.00 beta=92.79 gamma=90.00
Atoms (fractional coordinates):
Si: 0.000 0.000 0.000
Hg: 0.247 0.500 0.251
Hg: 0.753 0.500 0.749
Se: 0.000 0.000 0.500

Results
Symmetry: No. 10
E_form (uncorrected) in eV/atom: 0.34
Electronic total energy in eV per atom: -2.038
Distance to the lowest polymorph of the same formula in meV/atom: 323


22.
VASP calculation (PBE) on a geometry-optimized Si2HgSe6 structure.

Unit cell a=9.933 b=9.933 c=5.860 alpha=95.30 beta=95.30 gamma=84.23
Atoms (fractional coordinates):
Si: 0.125 0.261 0.360
Si: 0.261 0.125 0.860
Si: 0.739 0.875 0.140
Si: 0.875 0.739 0.640
Hg: 0.219 0.781 0.750
Hg: 0.781 0.219 0.250
Se: 0.051 0.191 0.681
Se: 0.057 0.608 0.798
Se: 0.191 0.051 0.181
Se: 0.322 0.370 0.428
Se: 0.370 0.322 0.928
Se: 0.392 0.943 0.702
Se: 0.608 0.057 0.298
Se: 0.630 0.678 0.072
Se: 0.678 0.630 0.572
Se: 0.809 0.949 0.819
Se: 0.943 0.392 0.202
Se: 0.949 0.809 0.319

Results
Symmetry: No. 15
E_form (uncorrected) in eV/atom: -0.23
Electronic total energy in eV per atom: -3.789


23.
VASP calculation (PBE) on a geometry-optimized SiHgSe2 structure.

Unit cell a=3.347 b=3.347 c=7.580 alpha=90.00 beta=90.00 gamma=90.00
Atoms (fractional coordinates):
Si: 0.000 0.000 0.000
Hg: 0.000 0.000 0.500
Se: 0.500 0.500 0.201
Se: 0.500 0.500 0.799

Results
Symmetry: No. 123
E_form (uncorrected) in eV/atom: 0.32
Electronic total energy in eV per atom: -2.851


24.
VASP calculation (PBE) on a geometry-optimized SiHgSe2 structure.

Unit cell a=2.868 b=4.329 c=9.177 alpha=90.00 beta=90.00 gamma=90.00
Atoms (fractional coordinates):
Si: 0.000 0.000 0.000
Hg: 0.500 0.500 0.487
Se: 0.000 0.000 0.752
Se: 0.500 0.500 0.078

Results
Symmetry: No. 25
E_form (uncorrected) in eV/atom: 0.16
Electronic total energy in eV per atom: -3.015


25.
VASP calculation (PBE) on a geometry-optimized Si2Hg2Se structure.

Unit cell a=7.765 b=7.765 c=3.716 alpha=90.00 beta=90.00 gamma=90.00
Atoms (fractional coordinates):
Si: 0.107 0.393 0.000
Si: 0.393 0.893 0.000
Si: 0.607 0.107 0.000
Si: 0.893 0.607 0.000
Hg: 0.184 0.684 0.500
Hg: 0.316 0.184 0.500
Hg: 0.684 0.816 0.500
Hg: 0.816 0.316 0.500
Se: 0.000 0.000 0.500
Se: 0.500 0.500 0.500

Results
Symmetry: No. 127
E_form (uncorrected) in eV/atom: 0.54
Electronic total energy in eV per atom: -2.449
Distance to the lowest polymorph of the same formula in meV/atom: 193


26.
VASP calculation (PBE) on a geometry-optimized SiHgSe2 structure.

Unit cell a=3.911 b=3.911 c=6.117 alpha=90.00 beta=90.00 gamma=90.00
Atoms (fractional coordinates):
Si: 0.000 0.000 0.000
Hg: 0.500 0.500 0.477
Se: 0.000 0.000 0.604
Se: 0.500 0.500 0.036

Results
Symmetry: No. 99
E_form (uncorrected) in eV/atom: -0.02
Electronic total energy in eV per atom: -3.188


27.
VASP calculation (PBE) on a geometry-optimized SiHg2Se structure.

Unit cell a=3.400 b=3.400 c=10.583 alpha=90.00 beta=90.00 gamma=118.66
Atoms (fractional coordinates):
Si: 0.000 0.000 0.000
Hg: 0.000 0.000 0.535
Hg: 0.500 0.500 0.255
Se: 0.500 0.500 0.846

Results
Symmetry: No. 35
E_form (uncorrected) in eV/atom: 0.17
Electronic total energy in eV per atom: -2.205
Distance to the lowest polymorph of the same formula in meV/atom: 156


28.
VASP calculation (PBE) on a geometry-optimized SiHg2Se structure.

Unit cell a=9.726 b=9.726 c=9.726 alpha=21.27 beta=21.27 gamma=21.27
Atoms (fractional coordinates):
Si: 0.000 0.000 0.000
Hg: 0.506 0.506 0.506
Hg: 0.745 0.745 0.745
Se: 0.285 0.285 0.285

Results
Symmetry: No. 160
E_form (uncorrected) in eV/atom: 0.02
Electronic total energy in eV per atom: -2.361
Distance to the lowest polymorph of the same formula in meV/atom: 0